Version w
A crystal of KLi2Re relaxed with PBEsol, computed with SCAN.

Structure (POSCAR):
```
KLi2Re
1.0
-1.2357 3.8216 2.9071
-4.2683 -0.0820 2.5215
0.0430 -0.5205 4.9305
Re Li K
1 2 1
Cartesian
-1.3653 0.8048 2.5898
-4.0958 2.4144 7.7694
0.0000 0.0000 0.0000
-2.7305 1.6096 5.1796
```

Values from the calculation:
* density: 4.61 g cm⁻³
* Fermi-level density of states: 0.442 states/eV per atom
* space-group type: F-43m

***

Version x
A crystal of KLi2Re relaxed with PBEsol, computed with SCAN.

Structure (POSCAR):
```
KLi2Re
1.0
2.5697 0.0000 0.0000
-1.2848 4.7385 0.0292
0.0000 -0.3538 6.7582
K Re Li
1 1 2
Cartesian
1.2848 0.0000 0.0000
0.0000 -0.1769 3.3791
1.2848 2.0328 4.4788
0.0000 2.3519 2.3087
```

Values from the calculation:
* density: 4.82 g cm⁻³
* Fermi-level density of states: 0.619 states/eV per atom
* space-group type: C2/m

***

Quick one: most stable of them? version x

***

Version w
A crystal of KLi2Re relaxed with PBEsol, computed with SCAN.

Structure (POSCAR):
```
KLi2Re
1.0
2.6691 0.0516 0.0000
-0.3941 2.6404 0.0000
0.0000 0.0000 11.0101
Li K Re
2 1 1
Cartesian
0.0000 0.0000 3.4131
0.0000 0.0000 7.5970
1.1375 1.3460 0.0000
1.1375 1.3460 5.5050
```

Values from the calculation:
* density: 5.10 g cm⁻³
* Fermi-level density of states: 0.539 states/eV per atom
* space-group type: Cmmm

***

Version x
A crystal of KLi2Re relaxed with PBEsol, computed with SCAN.

Structure (POSCAR):
```
KLi2Re
1.0
6.1885 0.0023 0.0000
-2.9701 5.4292 0.0000
-1.6092 -2.7157 5.3228
Re K Li
2 2 4
Cartesian
0.0000 0.0000 0.0000
-1.4851 2.7146 2.6614
1.6092 2.7157 0.0000
3.0942 0.0012 2.6614
-0.2506 -0.7688 2.4851
4.4528 1.9481 0.1763
-2.0390 2.1255 5.1465
1.0552 2.1267 2.8377
```

Values from the calculation:
* density: 4.44 g cm⁻³
* Fermi-level density of states: 0.627 states/eV per atom
* space-group type: I-42d

***

Quick one: most stable of them? version w

***

Version w
A crystal of K2LiRe relaxed with PBEsol, computed with SCAN.

Structure (POSCAR):
```
K2LiRe
1.0
2.7010 0.0000 0.0000
0.0000 6.2281 0.0000
0.0000 -3.1140 5.6622
Li K Re
1 2 1
Cartesian
1.3505 0.0000 0.0000
0.0000 -1.5570 2.8311
0.0000 1.5570 2.8311
1.3505 3.1140 0.0000
```

Values from the calculation:
* density: 4.73 g cm⁻³
* Fermi-level density of states: 0.425 states/eV per atom
* space-group type: Cmmm

***

Version x
A crystal of K2LiRe relaxed with PBEsol, computed with SCAN.

Structure (POSCAR):
```
K2LiRe
1.0
2.8009 0.0030 0.0000
-0.5508 2.7462 0.0000
0.0000 0.0000 12.3665
Li Re K
1 1 2
Cartesian
1.1250 1.3746 6.1832
1.1250 1.3746 0.0000
0.0000 0.0000 2.7551
0.0000 0.0000 9.6114
```

Values from the calculation:
* density: 4.74 g cm⁻³
* Fermi-level density of states: 0.573 states/eV per atom
* space-group type: Cmmm

***

Quick one: most stable of them? version x